Entry from Alexandria via LeMat-Bulk: a relaxed structure of Mo2PbSe (PBE).

Cell and atoms, written as extended XYZ:
```
4
Lattice="3.261 0.000 0.000 0.000 4.158 0.000 0.000 0.000 7.136" Properties=species:S:1:pos:R:3 pbc="T T T"
Mo 0.000 0.000 0.000
Mo 1.630 2.079 0.217
Pb 0.000 2.079 4.846
Se 1.630 0.000 1.948
```

Values from the calculation:
space group	No. 25
E_form (uncorrected)	0.23	eV/atom

Entry from Alexandria via LeMat-Bulk: a relaxed structure of CuBrCl2 (PBE).

Cell and atoms, written as extended XYZ:
```
4
Lattice="1.725 -4.437 0.000 1.725 4.437 0.000 0.000 0.000 8.403" Properties=species:S:1:pos:R:3 pbc="T T T"
Cu 0.000 0.000 0.000
Br 1.725 0.000 1.678
Cl 0.000 0.000 3.785
Cl 1.725 0.000 6.970
```

Values from the calculation:
space group	No. 35
E_form (uncorrected)	-0.14	eV/atom

Entry from Alexandria via LeMat-Bulk: a relaxed structure of Er2CoGe6 (PBE).

Cell and atoms, written as extended XYZ:
```
9
Lattice="4.060 0.000 0.000 0.000 1.976 10.713 0.000 -1.976 10.713" Properties=species:S:1:pos:R:3 pbc="T T T"
Er 0.000 0.000 0.000
Er 0.000 0.000 7.236
Co 2.030 0.000 16.687
Ge 0.000 0.000 12.981
Ge 0.000 0.000 15.502
Ge 2.030 0.000 2.213
Ge 2.030 0.000 4.746
Ge 2.030 0.000 9.882
Ge 2.030 0.000 18.970
```

Values from the calculation:
space group	No. 38
energy relative to the elements	-466.8	meV/atom

Entry from Alexandria via LeMat-Bulk: a relaxed structure of KPuF2 (PBE).

Cell and atoms, written as extended XYZ:
```
4
Lattice="1.822 1.052 8.121 -1.822 1.052 8.121 0.000 -2.104 8.121" Properties=species:S:1:pos:R:3 pbc="T T T"
K 0.000 0.000 0.000
Pu 0.000 0.000 12.182
F 0.000 0.000 2.563
F 0.000 0.000 21.800
```

Values from the calculation:
space group	No. 166
E_form (uncorrected)	-2.14	eV/atom

Entry from Alexandria via LeMat-Bulk: a relaxed structure of TlIn2PbI4 (PBE).

Cell and atoms, written as extended XYZ:
```
8
Lattice="8.150 0.000 0.000 0.000 5.531 0.000 -3.578 0.000 7.349" Properties=species:S:1:pos:R:3 pbc="T T T"
Tl 0.000 0.000 0.000
In 2.286 0.000 3.675
In 4.075 2.766 0.000
Pb -1.789 2.766 3.675
I -0.683 0.000 5.417
I 1.035 2.766 1.924
I 3.537 2.766 5.425
I 5.255 0.000 1.933
```

Values from the calculation:
space group	No. 10
E_form (uncorrected)	-0.39	eV/atom

Entry from Alexandria via LeMat-Bulk: a relaxed structure of ScTiCu4 (PBE).

Cell and atoms, written as extended XYZ:
```
6
Lattice="3.227 0.000 0.000 0.000 3.227 0.000 0.000 0.000 8.278" Properties=species:S:1:pos:R:3 pbc="T T T"
Sc 0.000 0.000 0.000
Ti 1.614 1.614 4.139
Cu 0.000 0.000 2.779
Cu 0.000 0.000 5.499
Cu 1.614 1.614 1.512
Cu 1.614 1.614 6.766
```

Values from the calculation:
space group	No. 123
energy relative to the elements	-181.2	meV/atom

Number 1: spin magnetization 0.00 μB per cell, VASP energy -6.986 eV/atom. Number 2: spin magnetization 0.00 μB per cell, VASP energy -2.509 eV/atom. Number 3: spin magnetization 0.00 μB per cell, VASP energy -5.349 eV/atom. Number 4: spin magnetization 6.51 μB per cell, VASP energy -6.928 eV/atom. Number 5: spin magnetization 0.00 μB per cell, VASP energy -2.612 eV/atom. Number 6: spin magnetization 0.48 μB per cell, VASP energy -5.283 eV/atom.